Entry from Alexandria via LeMat-Bulk: SrRh after structural relaxation (PBE).

Structure (POSCAR):
```
SrRh
1.0
3.609 0.000 0.000
-1.804 3.125 0.000
0.000 0.000 4.390
Sr Rh
1 1
Direct
0.000 0.000 0.000
0.333 0.667 0.500
```

Values from the calculation:
E_form: 0.211 eV/atom
Symmetry: P-6m2 (187)

Entry from Alexandria via LeMat-Bulk: Sr3Rh after structural relaxation (PBE).

Structure (POSCAR):
```
Sr3Rh
1.0
4.178 0.000 0.000
-2.089 3.618 0.000
0.000 0.000 10.876
Sr Rh
3 1
Direct
0.000 0.000 0.000
0.667 0.333 0.336
0.667 0.333 0.664
0.000 0.000 0.500
```

Values from the calculation:
E_form: 0.014 eV/atom
Symmetry: P-6m2 (187)

Entry from Alexandria via LeMat-Bulk: SrRh after structural relaxation (PBE).

Structure (POSCAR):
```
SrRh
1.0
6.069 0.000 0.000
0.000 6.069 0.000
0.000 0.000 5.932
Sr Rh
4 4
Direct
0.202 0.202 0.000
0.298 0.702 0.500
0.702 0.298 0.500
0.798 0.798 0.000
0.157 0.157 0.500
0.343 0.657 0.000
0.657 0.343 0.000
0.843 0.843 0.500
```

Values from the calculation:
E_form: 0.223 eV/atom
Symmetry: P4_2/mnm (136)

Entry from Alexandria via LeMat-Bulk: Sr8Rh after structural relaxation (PBE).

Structure (POSCAR):
```
Sr8Rh
1.0
-7.128 7.128 2.111
7.128 -7.128 2.111
7.128 7.128 -2.111
Sr Rh
8 1
Direct
0.000 0.334 0.334
0.000 0.666 0.666
0.334 0.000 0.334
0.372 0.372 0.744
0.372 0.628 0.000
0.628 0.372 0.000
0.628 0.628 0.256
0.666 0.000 0.666
0.000 0.000 0.000
```

Values from the calculation:
E_form: 0.056 eV/atom
Symmetry: I4/mmm (139)

Entry from Alexandria via LeMat-Bulk: Sr6Rh7 after structural relaxation (PBE).

Structure (POSCAR):
```
Sr6Rh7
1.0
2.768 1.598 12.186
-2.768 1.598 12.186
0.000 -3.196 12.186
Sr Rh
6 7
Direct
0.065 0.065 0.065
0.153 0.153 0.153
0.366 0.366 0.366
0.634 0.634 0.634
0.847 0.847 0.847
0.935 0.935 0.935
0.101 0.609 0.609
0.391 0.391 0.899
0.391 0.899 0.391
0.500 0.500 0.500
0.609 0.101 0.609
0.609 0.609 0.101
0.899 0.391 0.391
```

Values from the calculation:
E_form: -0.104 eV/atom
Symmetry: R-3m (166)

Entry from Alexandria via LeMat-Bulk: SrRh after structural relaxation (PBE).

Structure (POSCAR):
```
SrRh
1.0
5.976 0.000 0.000
0.000 5.976 0.000
0.000 0.000 5.976
Sr Rh
4 4
Direct
0.000 0.000 0.000
0.000 0.500 0.500
0.500 0.000 0.500
0.500 0.500 0.000
0.000 0.000 0.500
0.000 0.500 0.000
0.500 0.000 0.000
0.500 0.500 0.500
```

Values from the calculation:
E_form: 0.354 eV/atom
Symmetry: Fm-3m (225)

Entry from Alexandria via LeMat-Bulk: Sr3Rh2 after structural relaxation (PBE).

Structure (POSCAR):
```
Sr3Rh2
1.0
5.245 0.000 0.000
-2.622 4.542 0.000
0.000 0.000 17.387
Sr Rh
9 6
Direct
0.000 0.000 0.000
0.000 0.000 0.226
0.000 0.000 0.774
0.333 0.667 0.440
0.333 0.667 0.667
0.333 0.667 0.893
0.667 0.333 0.107
0.667 0.333 0.333
0.667 0.333 0.560
0.000 0.000 0.425
0.000 0.000 0.575
0.333 0.667 0.092
0.333 0.667 0.241
0.667 0.333 0.759
0.667 0.333 0.908
```

Values from the calculation:
Relative energy among the computed polymorphs: 49 meV/atom
E_form: -0.138 eV/atom
Symmetry: R-3m (166)

Entry from Alexandria via LeMat-Bulk: Sr4Rh after structural relaxation (PBE).

Structure (POSCAR):
```
Sr4Rh
1.0
0.000 7.325 4.298
7.014 0.000 4.298
7.014 7.325 0.000
Sr Rh
8 2
Direct
0.039 0.961 0.798
0.048 0.452 0.289
0.452 0.048 0.211
0.452 0.517 0.723
0.517 0.452 0.308
0.527 0.942 0.798
0.942 0.527 0.733
0.961 0.039 0.202
0.236 0.236 0.764
0.486 0.486 0.014
```

Values from the calculation:
Relative energy among the computed polymorphs: 3 meV/atom
E_form: -0.184 eV/atom
Symmetry: Fdd2 (43)

Entry from Alexandria via LeMat-Bulk: Sr2Rh after structural relaxation (PBE).

Structure (POSCAR):
```
Sr2Rh
1.0
7.403 0.000 0.000
0.000 7.403 0.000
0.000 0.000 7.403
Sr Rh
8 4
Direct
0.165 0.165 0.165
0.165 0.335 0.665
0.335 0.665 0.165
0.335 0.835 0.665
0.665 0.165 0.335
0.665 0.335 0.835
0.835 0.665 0.335
0.835 0.835 0.835
0.000 0.000 0.500
0.000 0.500 0.000
0.500 0.000 0.000
0.500 0.500 0.500
```

Values from the calculation:
E_form: -0.154 eV/atom
Symmetry: Pa-3 (205)

Entry from Alexandria via LeMat-Bulk: Sr5Rh after structural relaxation (PBE).

Structure (POSCAR):
```
Sr5Rh
1.0
11.724 0.000 0.000
0.000 4.500 0.000
0.000 0.000 9.838
Sr Rh
10 2
Direct
0.000 0.000 0.000
0.088 0.500 0.309
0.250 0.000 0.608
0.250 0.500 0.966
0.412 0.500 0.309
0.500 0.000 0.000
0.588 0.500 0.691
0.750 0.000 0.392
0.750 0.500 0.034
0.912 0.500 0.691
0.250 0.000 0.179
0.750 0.000 0.821
```

Values from the calculation:
Relative energy among the computed polymorphs: 0 meV/atom
E_form: -0.117 eV/atom
Symmetry: Pmma (51)

Entry from Alexandria via LeMat-Bulk: Sr2Rh after structural relaxation (PBE).

Structure (POSCAR):
```
Sr2Rh
1.0
6.924 0.000 0.000
0.000 7.054 0.000
0.000 0.000 4.468
Sr Rh
4 2
Direct
0.226 0.172 0.000
0.274 0.672 0.500
0.726 0.328 0.500
0.774 0.828 0.000
0.000 0.000 0.500
0.500 0.500 0.000
```

Values from the calculation:
E_form: -0.148 eV/atom
Symmetry: Pnnm (58)

Entry from Alexandria via LeMat-Bulk: SrRh after structural relaxation (PBE).

Structure (POSCAR):
```
SrRh
1.0
3.618 0.000 0.000
-1.809 3.133 0.000
0.000 0.000 13.068
Sr Rh
3 3
Direct
0.000 0.000 0.000
0.333 0.667 0.667
0.667 0.333 0.333
0.000 0.000 0.500
0.333 0.667 0.167
0.667 0.333 0.833
```

Values from the calculation:
E_form: 0.196 eV/atom
Symmetry: R-3m (166)

What did the tenth record say?
Entry from Alexandria via LeMat-Bulk: Sr5Rh after structural relaxation (PBE).

Structure (POSCAR):
```
Sr5Rh
1.0
11.724 0.000 0.000
0.000 4.500 0.000
0.000 0.000 9.838
Sr Rh
10 2
Direct
0.000 0.000 0.000
0.088 0.500 0.309
0.250 0.000 0.608
0.250 0.500 0.966
0.412 0.500 0.309
0.500 0.000 0.000
0.588 0.500 0.691
0.750 0.000 0.392
0.750 0.500 0.034
0.912 0.500 0.691
0.250 0.000 0.179
0.750 0.000 0.821
```

Values from the calculation:
Relative energy among the computed polymorphs: 0 meV/atom
E_form: -0.117 eV/atom
Symmetry: Pmma (51)

The lowest E_form belongs to which entry?
Sr4Rh